VASP calculation (PBE) on a relaxed structure of MgTiH2.

For the offset from the most stable computed form, the calculation gives 0.000 eV/atom. The density of states at the Fermi level is 0.24 states/eV/atom.

abc: 5.8223 5.8223 5.8223
angles: 30.37 30.37 30.37
Fractional positions:
Mg: 0.0000 0.0000 0.0000
Ti: 0.1840 0.1840 0.1840
H: 0.5572 0.5572 0.5572
H: 0.8049 0.8049 0.8049

---

VASP calculation (PBE) on a relaxed structure of NaTlAsPd2.

The density of states at the Fermi level is 0.55 states/eV/atom. The calculated formation energy is -0.32 eV per formula unit.

abc: 4.7559 4.7559 5.3622
angles: 90.00 90.00 90.00
Fractional positions:
Na: 0.0000 0.0000 0.0000
Tl: 0.5000 0.5000 0.0000
As: 0.0000 0.0000 0.5000
Pd: 0.0000 0.5000 0.5000
Pd: 0.5000 0.0000 0.5000

---

Sequential electronic total energy output: -17.0 -19.0 eV/f.u.